(1)
First-principles (PBE-GGA) data for crystalline LiNd8Bi6 at its relaxed geometry, as listed in the Alexandria database.

The density of states at the Fermi level is 0.826 states/eV/atom. Its calculated formation energy is -0.65 eV per atom. As for the crystal system: trigonal.

Geometry as CIF:
```
data_LiNd8Bi6
_cell_length_a 9.562
_cell_length_b 9.562
_cell_length_c 8.560
_cell_angle_alpha 56.05
_cell_angle_beta 56.05
_cell_angle_gamma 60.00
_space_group_name_H-M_alt 'P 1'
_space_group_IT_number 1
loop_
_space_group_symop_operation_xyz
'x,y,z'
loop_
_atom_site_label
_atom_site_type_symbol
_atom_site_fract_x
_atom_site_fract_y
_atom_site_fract_z
_atom_site_occupancy
Nd1 Nd 0.376 0.804 0.725 1
Nd2 Nd 0.624 0.196 0.275 1
Nd3 Nd 0.904 0.624 0.275 1
Nd4 Nd 0.096 0.376 0.725 1
Nd5 Nd 0.332 0.332 0.005 1
Nd6 Nd 0.668 0.668 0.995 1
Nd7 Nd 0.196 0.904 0.275 1
Nd8 Nd 0.804 0.096 0.725 1
Bi1 Bi 0.448 0.074 0.770 1
Bi2 Bi 0.292 0.552 0.230 1
Bi3 Bi 0.552 0.926 0.230 1
Bi4 Bi 0.926 0.292 0.230 1
Bi5 Bi 0.708 0.448 0.770 1
Bi6 Bi 0.074 0.708 0.770 1
Li1 Li 0.000 0.000 0.000 1
```

***

(2)
First-principles (PBE-GGA) data for crystalline ZrBOsO2 at its relaxed geometry, as listed in the Alexandria database.

The density of states at the Fermi level is 0.866 states/eV/atom. As for the crystal system: tetragonal. The value obtained for the raw formation energy is -0.074 eV/atom.

Geometry as CIF:
```
data_ZrBOsO2
_cell_length_a 3.653
_cell_length_b 6.149
_cell_length_c 3.653
_cell_angle_alpha 90.00
_cell_angle_beta 90.00
_cell_angle_gamma 90.00
_space_group_name_H-M_alt 'P 1'
_space_group_IT_number 1
loop_
_space_group_symop_operation_xyz
'x,y,z'
loop_
_atom_site_label
_atom_site_type_symbol
_atom_site_fract_x
_atom_site_fract_y
_atom_site_fract_z
_atom_site_occupancy
Os1 Os 0.000 0.000 0.000 1
Zr1 Zr 0.000 0.500 0.000 1
O1 O 0.500 0.000 0.000 1
O2 O 0.000 0.000 0.500 1
B1 B 0.500 0.500 0.500 1
```

***

(3)
First-principles (PBE-GGA) data for crystalline CeSm6Dy3Ho2 at its relaxed geometry, as listed in the Alexandria database.

The density of states at the Fermi level is 1.634 states/eV/atom. Its calculated formation energy is 0.04 eV per atom. As for the crystal system: monoclinic.

Geometry as CIF:
```
data_CeSm6Dy3Ho2
_cell_length_a 6.212
_cell_length_b 6.212
_cell_length_c 11.862
_cell_angle_alpha 95.02
_cell_angle_beta 95.02
_cell_angle_gamma 120.00
_space_group_name_H-M_alt 'P 1'
_space_group_IT_number 1
loop_
_space_group_symop_operation_xyz
'x,y,z'
loop_
_atom_site_label
_atom_site_type_symbol
_atom_site_fract_x
_atom_site_fract_y
_atom_site_fract_z
_atom_site_occupancy
Ho1 Ho 0.667 0.333 0.000 1
Ho2 Ho 0.333 0.667 0.000 1
Sm1 Sm 0.084 0.415 0.250 1
Sm2 Sm 0.752 0.752 0.250 1
Sm3 Sm 0.585 0.916 0.750 1
Sm4 Sm 0.248 0.248 0.750 1
Sm5 Sm 0.916 0.585 0.750 1
Sm6 Sm 0.415 0.084 0.250 1
Ce1 Ce 0.000 0.000 0.000 1
Dy1 Dy 0.167 0.833 0.500 1
Dy2 Dy 0.833 0.167 0.500 1
Dy3 Dy 0.500 0.500 0.500 1
```

***

(4)
First-principles (PBE-GGA) data for crystalline TaOs2N at its relaxed geometry, as listed in the Alexandria database.

The density of states at the Fermi level is 0.030 states/eV/atom. As for the crystal system: tetragonal. The value obtained for the raw formation energy is 0.541 eV/atom.

Geometry as CIF:
```
data_TaOs2N
_cell_length_a 5.437
_cell_length_b 5.437
_cell_length_c 5.870
_cell_angle_alpha 62.41
_cell_angle_beta 62.41
_cell_angle_gamma 90.00
_space_group_name_H-M_alt 'P 1'
_space_group_IT_number 1
loop_
_space_group_symop_operation_xyz
'x,y,z'
loop_
_atom_site_label
_atom_site_type_symbol
_atom_site_fract_x
_atom_site_fract_y
_atom_site_fract_z
_atom_site_occupancy
Os1 Os 0.222 0.625 0.250 1
Os2 Os 0.375 0.472 0.750 1
Os3 Os 0.528 0.125 0.250 1
Os4 Os 0.875 0.778 0.750 1
Ta1 Ta 0.750 0.250 0.500 1
Ta2 Ta 0.000 0.000 0.000 1
N1 N 0.250 0.750 0.500 1
N2 N 0.500 0.500 0.000 1
```

***

(5)
First-principles (PBE-GGA) data for crystalline TbHoNi2Ge2 at its relaxed geometry, as listed in the Alexandria database.

The density of states at the Fermi level is 0.885 states/eV/atom. Its calculated formation energy is -0.76 eV per atom. As for the crystal system: trigonal.

Geometry as CIF:
```
data_TbHoNi2Ge2
_cell_length_a 4.210
_cell_length_b 4.210
_cell_length_c 7.164
_cell_angle_alpha 90.00
_cell_angle_beta 90.00
_cell_angle_gamma 120.00
_space_group_name_H-M_alt 'P 1'
_space_group_IT_number 1
loop_
_space_group_symop_operation_xyz
'x,y,z'
loop_
_atom_site_label
_atom_site_type_symbol
_atom_site_fract_x
_atom_site_fract_y
_atom_site_fract_z
_atom_site_occupancy
Ni1 Ni 0.667 0.333 0.261 1
Ni2 Ni 0.333 0.667 0.739 1
Tb1 Tb 0.000 0.000 0.000 1
Ho1 Ho 0.000 0.000 0.500 1
Ge1 Ge 0.667 0.333 0.744 1
Ge2 Ge 0.333 0.667 0.256 1
```

***

(6)
First-principles (PBE-GGA) data for crystalline ScCrP2 at its relaxed geometry, as listed in the Alexandria database.

The density of states at the Fermi level is 0.315 states/eV/atom. Its calculated formation energy is -0.62 eV per atom. As for the crystal system: orthorhombic. Its relative energy among the computed polymorphs is 248.1 meV/atom.

Geometry as CIF:
```
data_ScCrP2
_cell_length_a 5.503
_cell_length_b 5.503
_cell_length_c 3.664
_cell_angle_alpha 90.00
_cell_angle_beta 90.00
_cell_angle_gamma 36.91
_space_group_name_H-M_alt 'P 1'
_space_group_IT_number 1
loop_
_space_group_symop_operation_xyz
'x,y,z'
loop_
_atom_site_label
_atom_site_type_symbol
_atom_site_fract_x
_atom_site_fract_y
_atom_site_fract_z
_atom_site_occupancy
P1 P 0.989 0.989 0.875 1
P2 P 0.235 0.235 0.375 1
Cr1 Cr 0.768 0.768 0.875 1
Sc1 Sc 0.508 0.508 0.375 1
```